{
  "formula": "LaSm4Ni2",
  "functional": "GGA-PBE",
  "state": "relaxed",
  "ef_mev_per_atom": -154,
  "lattice": [[6.901, 0.000, 0.000], [0.000, 6.808, 0.000], [-3.364, 0.000, 8.363]],
  "species": ["La", "La", "Sm", "Sm", "Sm", "Sm", "Sm", "Sm", "Sm", "Sm", "Ni", "Ni", "Ni", "Ni"],
  "fractional_positions": [[0.240, 0.250, 0.200], [0.760, 0.750, 0.800], [0.036, 0.250, 0.793], [0.278, 0.000, 0.559], [0.278, 0.500, 0.559], [0.332, 0.750, 0.000], [0.668, 0.250, 0.000], [0.722, 0.000, 0.441], [0.722, 0.500, 0.441], [0.964, 0.750, 0.207], [0.036, 0.750, 0.666], [0.379, 0.750, 0.337], [0.621, 0.250, 0.663], [0.964, 0.250, 0.334]]
}